Entry from Alexandria: Be2HgPb at its PBEsol-relaxed geometry (meta-GGA SCAN).

Cell: 4.2366 5.3336 6.4603 Å, 90.00 90.00 90.00°
Closest atoms and distances in Å follow each position.
Space group Cmmm (No. 65)
Symmetry-distinct sites (fractional):
Be: 0.0000 0.0000 0.1813  1 Be 2.34, 2 Hg 2.42
Hg: 0.0000 0.5000 0.0000  4 Be 2.42
Pb: 0.0000 0.5000 0.5000  4 Be 2.95, 2 Hg 3.23

Summary:
Formation enthalpy at 0 K in meV/atom: 550
DOS at the Fermi energy in states/eV per cell: 2.6